i.
Entry from Alexandria: a relaxed Nd7Dy3Y2 crystal (PBE-GGA).

Cell lengths 3.576, 6.495, 18.182 Å; angles 75.06, 90.00, 90.00 degrees
Atoms (fractional coordinates):
Nd (0.500, 0.237, 0.505)
Nd (0.500, 0.763, 0.495)
Nd (0.000, 0.558, 0.167)
Nd (0.000, 0.000, 0.000)
Nd (0.000, 0.442, 0.833)
Nd (0.500, 0.945, 0.829)
Nd (0.500, 0.055, 0.171)
Dy (0.500, 0.500, 0.000)
Dy (0.000, 0.115, 0.340)
Dy (0.000, 0.885, 0.660)
Y (0.500, 0.612, 0.330)
Y (0.500, 0.388, 0.670)

Values from the calculation:
The calculated volume is 408 Å³/cell. As for the size of the total moment: 0.00 μB/f.u.

---

ii.
Entry from Alexandria: a relaxed Nd7Dy3Y2 crystal (PBE-GGA).

Cell lengths 3.641, 5.833, 19.476 Å; angles 98.61, 90.00, 90.00 degrees
Atoms (fractional coordinates):
Nd (0.000, 0.407, 0.814)
Nd (0.000, 0.768, 0.535)
Nd (0.000, 0.000, 0.000)
Nd (0.000, 0.593, 0.186)
Nd (0.500, 0.072, 0.145)
Nd (0.500, 0.928, 0.855)
Nd (0.000, 0.232, 0.465)
Dy (0.500, 0.500, 0.000)
Dy (0.500, 0.685, 0.370)
Dy (0.500, 0.315, 0.630)
Y (0.000, 0.851, 0.702)
Y (0.000, 0.149, 0.298)

Values from the calculation:
The calculated volume is 409 Å³/cell. As for the size of the total moment: 0.00 μB/f.u.

---

List of relative energies, unit kJ/mol of atoms: i 0.0; ii 4.3

---

i.
Entry from Alexandria: a relaxed NdDyY2 crystal (PBE-GGA).

Cell lengths 3.592, 3.592, 10.168 Å; angles 90.00, 90.00, 90.00 degrees
Atoms (fractional coordinates):
Y (0.000, 0.000, 0.746)
Y (0.000, 0.000, 0.254)
Nd (0.500, 0.500, 0.000)
Dy (0.500, 0.500, 0.500)

Values from the calculation:
The calculated volume is 131 Å³/cell. As for the size of the total moment: 0.00 μB/f.u.

---

ii.
Entry from Alexandria: a relaxed NdDyY2 crystal (PBE-GGA).

Cell lengths 3.612, 3.612, 11.812 Å; angles 81.20, 81.20, 60.00 degrees
Atoms (fractional coordinates):
Nd (0.500, 0.500, 0.499)
Dy (0.666, 0.666, 0.001)
Y (0.082, 0.082, 0.755)
Y (0.251, 0.251, 0.246)

Values from the calculation:
The calculated volume is 131 Å³/cell. As for the size of the total moment: 0.00 μB/f.u.

---

List of relative energies, unit kJ/mol of atoms: i 0.5; ii 0.0

---

i.
Entry from Alexandria: a relaxed NdDyY2 crystal (PBE-GGA).

Cell lengths 3.594, 3.594, 11.863 Å; angles 81.29, 81.29, 60.00 degrees
Atoms (fractional coordinates):
Y (0.749, 0.749, 0.753)
Y (0.251, 0.251, 0.247)
Nd (0.500, 0.500, 0.500)
Dy (0.000, 0.000, 0.000)

Values from the calculation:
The calculated volume is 131 Å³/cell. As for the size of the total moment: 0.00 μB/f.u.

---

ii.
Entry from Alexandria: a relaxed NdDyY2 crystal (PBE-GGA).

Cell lengths 5.726, 5.726, 5.726 Å; angles 60.00, 60.00, 60.00 degrees
Atoms (fractional coordinates):
Y (0.250, 0.250, 0.250)
Y (0.750, 0.750, 0.750)
Nd (0.500, 0.500, 0.500)
Dy (0.000, 0.000, 0.000)

Values from the calculation:
The calculated volume is 133 Å³/cell. As for the size of the total moment: 0.00 μB/f.u.

---

List of relative energies, unit kJ/mol of atoms: i 0.0; ii 9.9

---

i.
Entry from Alexandria: a relaxed NdDyY2 crystal (PBE-GGA).

Cell lengths 5.077, 5.081, 5.081 Å; angles 90.00, 90.00, 90.00 degrees
Atoms (fractional coordinates):
Y (0.000, 0.000, 0.500)
Y (0.000, 0.500, 0.000)
Nd (0.500, 0.000, 0.000)
Dy (0.500, 0.500, 0.500)

Values from the calculation:
The calculated volume is 131 Å³/cell. As for the size of the total moment: 0.00 μB/f.u.

---

ii.
Entry from Alexandria: a relaxed NdDyY2 crystal (PBE-GGA).

Cell lengths 3.669, 6.797, 6.797 Å; angles 55.42, 74.36, 74.35 degrees
Atoms (fractional coordinates):
Nd (0.750, 0.669, 0.831)
Dy (0.250, 0.165, 0.335)
Y (0.999, 0.085, 0.919)
Y (0.501, 0.581, 0.415)

Values from the calculation:
The calculated volume is 133 Å³/cell. As for the size of the total moment: 0.00 μB/f.u.

---

List of relative energies, unit kJ/mol of atoms: i 0.7; ii 0.0

---

i.
Entry from Alexandria: a relaxed Nd7DyY4 crystal (PBE-GGA).

Cell lengths 6.098, 7.250, 11.847 Å; angles 72.20, 58.02, 90.02 degrees
Atoms (fractional coordinates):
Nd (0.823, 0.535, 0.930)
Nd (0.177, 0.465, 0.070)
Nd (0.128, 0.188, 0.625)
Nd (0.872, 0.812, 0.375)
Nd (0.156, 0.709, 0.581)
Nd (0.500, 0.000, 0.000)
Nd (0.844, 0.291, 0.419)
Dy (0.000, 0.000, 0.000)
Y (0.486, 0.593, 0.273)
Y (0.514, 0.407, 0.727)
Y (0.514, 0.868, 0.726)
Y (0.486, 0.132, 0.274)

Values from the calculation:
The calculated volume is 414 Å³/cell. As for the size of the total moment: 0.00 μB/f.u.

---

ii.
Entry from Alexandria: a relaxed Nd7DyY4 crystal (PBE-GGA).

Cell lengths 6.067, 11.770, 6.786 Å; angles 83.89, 63.45, 75.06 degrees
Atoms (fractional coordinates):
Nd (0.790, 0.922, 0.499)
Nd (0.210, 0.078, 0.501)
Nd (0.062, 0.682, 0.194)
Nd (0.938, 0.318, 0.806)
Nd (0.369, 0.501, 0.761)
Nd (0.500, 0.000, 0.000)
Nd (0.631, 0.499, 0.239)
Dy (0.000, 0.000, 0.000)
Y (0.643, 0.224, 0.491)
Y (0.357, 0.776, 0.509)
Y (0.758, 0.679, 0.805)
Y (0.242, 0.321, 0.195)

Values from the calculation:
The calculated volume is 419 Å³/cell. As for the size of the total moment: 0.00 μB/f.u.

---

List of relative energies, unit kJ/mol of atoms: i 0.0; ii 10.5

---

i.
Entry from Alexandria: a relaxed Nd2Dy3Y8 crystal (PBE-GGA).

Cell lengths 3.526, 11.784, 20.770 Å; angles 90.00, 90.00, 90.00 degrees
Atoms (fractional coordinates):
Nd (0.500, 0.821, 0.099)
Nd (0.500, 0.179, 0.901)
Nd (0.500, 0.321, 0.401)
Nd (0.500, 0.679, 0.599)
Dy (0.000, 0.000, 0.000)
Dy (0.000, 0.500, 0.500)
Dy (0.000, 0.645, 0.201)
Dy (0.000, 0.355, 0.799)
Dy (0.000, 0.145, 0.299)
Dy (0.000, 0.855, 0.701)
Y (0.000, 0.708, 0.947)
Y (0.000, 0.292, 0.053)
Y (0.000, 0.208, 0.553)
Y (0.000, 0.792, 0.447)
Y (0.000, 0.055, 0.159)
Y (0.000, 0.945, 0.841)
Y (0.000, 0.555, 0.341)
Y (0.000, 0.445, 0.659)
Y (0.500, 0.871, 0.286)
Y (0.500, 0.129, 0.714)
Y (0.500, 0.371, 0.214)
Y (0.500, 0.629, 0.786)
Y (0.500, 0.546, 0.072)
Y (0.500, 0.454, 0.928)
Y (0.500, 0.046, 0.428)
Y (0.500, 0.954, 0.572)

Values from the calculation:
The calculated volume is 863 Å³/cell. As for the size of the total moment: 0.00 μB/f.u.

---

ii.
Entry from Alexandria: a relaxed Nd2Dy3Y8 crystal (PBE-GGA).

Cell lengths 5.614, 7.640, 11.032 Å; angles 110.29, 90.01, 90.00 degrees
Atoms (fractional coordinates):
Nd (0.500, 0.241, 0.482)
Nd (0.500, 0.759, 0.518)
Dy (0.500, 0.000, 0.000)
Dy (0.000, 0.285, 0.000)
Dy (0.000, 0.715, 0.000)
Y (0.000, 0.665, 0.329)
Y (0.000, 0.335, 0.671)
Y (0.000, 0.130, 0.261)
Y (0.000, 0.870, 0.739)
Y (0.500, 0.607, 0.788)
Y (0.500, 0.181, 0.788)
Y (0.500, 0.819, 0.212)
Y (0.500, 0.393, 0.212)

Values from the calculation:
The calculated volume is 444 Å³/cell. As for the size of the total moment: 0.00 μB/f.u.

---

List of relative energies, unit kJ/mol of atoms: i 0.0; ii 9.3

---

i.
Entry from Alexandria: a relaxed NdDy4Y2 crystal (PBE-GGA).

Cell lengths 6.164, 6.568, 11.690 Å; angles 90.00, 107.01, 90.00 degrees
Atoms (fractional coordinates):
Nd (0.183, 0.750, 0.141)
Nd (0.817, 0.250, 0.859)
Dy (0.643, 0.491, 0.289)
Dy (0.989, 0.750, 0.839)
Dy (0.011, 0.250, 0.161)
Dy (0.643, 0.009, 0.289)
Dy (0.863, 0.250, 0.575)
Dy (0.357, 0.991, 0.711)
Dy (0.357, 0.509, 0.711)
Dy (0.137, 0.750, 0.425)
Y (0.615, 0.750, 0.007)
Y (0.385, 0.250, 0.993)
Y (0.298, 0.250, 0.448)
Y (0.702, 0.750, 0.552)

Values from the calculation:
The calculated volume is 453 Å³/cell. As for the size of the total moment: 0.00 μB/f.u.

---

ii.
Entry from Alexandria: a relaxed NdDy4Y2 crystal (PBE-GGA).

Cell lengths 3.532, 9.468, 8.564 Å; angles 121.49, 78.11, 111.89 degrees
Atoms (fractional coordinates):
Nd (0.000, 0.000, 0.000)
Dy (0.412, 0.707, 0.589)
Dy (0.807, 0.164, 0.715)
Dy (0.588, 0.293, 0.411)
Dy (0.193, 0.836, 0.285)
Y (0.360, 0.430, 0.141)
Y (0.640, 0.570, 0.859)

Values from the calculation:
The calculated volume is 227 Å³/cell. As for the size of the total moment: 0.00 μB/f.u.

---

List of relative energies, unit kJ/mol of atoms: i 8.1; ii 0.0

---

i.
Entry from Alexandria: a relaxed Nd3Dy5Y4 crystal (PBE-GGA).

Cell lengths 7.171, 11.341, 12.925 Å; angles 151.28, 56.38, 129.25 degrees
Atoms (fractional coordinates):
Nd (0.582, 0.166, 0.333)
Nd (0.000, 0.000, 0.500)
Nd (0.418, 0.834, 0.667)
Dy (0.333, 0.668, 0.835)
Dy (0.500, 0.000, 0.500)
Dy (0.749, 0.500, 0.000)
Dy (0.251, 0.500, 0.000)
Dy (0.667, 0.332, 0.165)
Y (0.917, 0.835, 0.668)
Y (0.832, 0.665, 0.833)
Y (0.168, 0.335, 0.167)
Y (0.083, 0.165, 0.332)

Values from the calculation:
The calculated volume is 391 Å³/cell. As for the size of the total moment: 0.00 μB/f.u.

---

ii.
Entry from Alexandria: a relaxed Nd3Dy5Y4 crystal (PBE-GGA).

Cell lengths 5.958, 8.557, 9.693 Å; angles 105.62, 72.10, 69.63 degrees
Atoms (fractional coordinates):
Nd (0.524, 0.685, 0.267)
Nd (0.000, 0.500, 0.500)
Nd (0.476, 0.315, 0.733)
Dy (0.623, 0.951, 0.803)
Dy (0.500, 0.500, 0.500)
Dy (0.214, 0.458, 0.114)
Dy (0.786, 0.542, 0.886)
Dy (0.377, 0.049, 0.197)
Y (0.859, 0.222, 0.060)
Y (0.169, 0.039, 0.622)
Y (0.831, 0.961, 0.378)
Y (0.141, 0.778, 0.940)

Values from the calculation:
The calculated volume is 400 Å³/cell. As for the size of the total moment: 0.17 μB/f.u.

---

List of relative energies, unit kJ/mol of atoms: i 0.0; ii 20.1

---

i.
Entry from Alexandria: a relaxed Nd6Dy12Y crystal (PBE-GGA).

Cell lengths 8.705, 8.705, 8.705 Å; angles 79.62, 79.62, 79.62 degrees
Atoms (fractional coordinates):
Nd (0.767, 0.767, 0.165)
Nd (0.835, 0.233, 0.233)
Nd (0.233, 0.835, 0.233)
Nd (0.233, 0.233, 0.835)
Nd (0.165, 0.767, 0.767)
Nd (0.767, 0.165, 0.767)
Dy (0.804, 0.486, 0.486)
Dy (0.486, 0.804, 0.486)
Dy (0.486, 0.486, 0.804)
Dy (0.196, 0.514, 0.514)
Dy (0.514, 0.196, 0.514)
Dy (0.514, 0.514, 0.196)
Dy (0.137, 0.137, 0.486)
Dy (0.863, 0.514, 0.863)
Dy (0.514, 0.863, 0.863)
Dy (0.863, 0.863, 0.514)
Dy (0.137, 0.486, 0.137)
Dy (0.486, 0.137, 0.137)
Y (0.000, 0.000, 0.000)

Values from the calculation:
The calculated volume is 631 Å³/cell. As for the size of the total moment: 0.00 μB/f.u.

---

ii.
Entry from Alexandria: a relaxed Nd6Dy12Y crystal (PBE-GGA).

Cell lengths 8.765, 8.765, 8.765 Å; angles 98.71, 98.71, 98.71 degrees
Atoms (fractional coordinates):
Nd (0.903, 0.343, 0.903)
Nd (0.903, 0.903, 0.343)
Nd (0.343, 0.903, 0.903)
Nd (0.097, 0.097, 0.657)
Nd (0.097, 0.657, 0.097)
Nd (0.657, 0.097, 0.097)
Dy (0.757, 0.243, 0.500)
Dy (0.356, 0.082, 0.356)
Dy (0.356, 0.356, 0.082)
Dy (0.918, 0.644, 0.644)
Dy (0.644, 0.644, 0.918)
Dy (0.644, 0.918, 0.644)
Dy (0.500, 0.757, 0.243)
Dy (0.243, 0.500, 0.757)
Dy (0.243, 0.757, 0.500)
Dy (0.500, 0.243, 0.757)
Dy (0.757, 0.500, 0.243)
Dy (0.082, 0.356, 0.356)
Y (0.000, 0.000, 0.000)

Values from the calculation:
The calculated volume is 647 Å³/cell. As for the size of the total moment: 0.00 μB/f.u.

---

List of relative energies, unit kJ/mol of atoms: i 0.0; ii 8.4

---

i.
Entry from Alexandria: a relaxed Nd6DyY12 crystal (PBE-GGA).

Cell lengths 8.740, 8.740, 8.740 Å; angles 79.69, 79.69, 79.69 degrees
Atoms (fractional coordinates):
Nd (0.769, 0.770, 0.163)
Nd (0.837, 0.231, 0.230)
Nd (0.230, 0.837, 0.231)
Nd (0.231, 0.230, 0.837)
Nd (0.163, 0.769, 0.770)
Nd (0.770, 0.163, 0.769)
Dy (0.000, 0.000, 0.000)
Y (0.804, 0.485, 0.485)
Y (0.485, 0.804, 0.485)
Y (0.485, 0.485, 0.804)
Y (0.196, 0.515, 0.515)
Y (0.515, 0.196, 0.515)
Y (0.515, 0.515, 0.196)
Y (0.137, 0.137, 0.485)
Y (0.863, 0.515, 0.863)
Y (0.515, 0.863, 0.863)
Y (0.863, 0.863, 0.515)
Y (0.137, 0.485, 0.137)
Y (0.485, 0.137, 0.137)

Values from the calculation:
The calculated volume is 639 Å³/cell. As for the size of the total moment: 0.00 μB/f.u.

---

ii.
Entry from Alexandria: a relaxed Nd6DyY12 crystal (PBE-GGA).

Cell lengths 8.811, 8.811, 8.811 Å; angles 99.10, 99.10, 99.10 degrees
Atoms (fractional coordinates):
Nd (0.903, 0.342, 0.903)
Nd (0.903, 0.903, 0.342)
Nd (0.342, 0.903, 0.903)
Nd (0.097, 0.097, 0.658)
Nd (0.097, 0.658, 0.097)
Nd (0.658, 0.097, 0.097)
Dy (0.000, 0.000, 0.000)
Y (0.758, 0.242, 0.500)
Y (0.353, 0.081, 0.353)
Y (0.353, 0.353, 0.081)
Y (0.919, 0.647, 0.647)
Y (0.647, 0.647, 0.919)
Y (0.647, 0.919, 0.647)
Y (0.500, 0.758, 0.242)
Y (0.242, 0.500, 0.758)
Y (0.242, 0.758, 0.500)
Y (0.500, 0.242, 0.758)
Y (0.758, 0.500, 0.242)
Y (0.081, 0.353, 0.353)

Values from the calculation:
The calculated volume is 655 Å³/cell. As for the size of the total moment: 0.00 μB/f.u.

---

List of relative energies, unit kJ/mol of atoms: i 0.0; ii 8.7